Crystalline BP2RuS at its relaxed geometry, computed with GGA-PBEsol.

abc: 4.3824 4.3824 4.9158
angles: 90.00 90.00 90.00
Atoms (fractional coordinates):
1 B 0.0000 0.0000 0.0000
2 P 0.0000 0.5000 0.5000
3 P 0.5000 0.0000 0.5000
4 Ru 0.5000 0.5000 0.5000
5 S 0.5000 0.5000 0.0000

magnetization	0.00	μB per cell
symmetry	P4/mmm (123)
formation energy without anion corrections	1.3774	eV per atom
final energy	-26.27	eV per cell

=====

Crystalline TcBP2Ru at its relaxed geometry, computed with GGA-PBEsol.

abc: 4.2728 4.2728 5.1854
angles: 90.00 90.00 90.00
Atoms (fractional coordinates):
1 Tc 0.0000 0.0000 0.0000
2 B 0.5000 0.5000 0.0000
3 P 0.0000 0.5000 0.5000
4 P 0.5000 0.0000 0.5000
5 Ru 0.0000 0.0000 0.5000

magnetization	2.86	μB per cell
symmetry	P4/mmm (123)
energy relative to the elements	1771	meV per atom
final energy	-31.18	eV per cell